# 1
The following is a GGA-PBE calculation of a relaxed structure of SrMnHg, from Alexandria.

```
data_SrMnHg
_cell_length_a 3.751
_cell_length_b 3.751
_cell_length_c 11.451
_cell_angle_alpha 90.00
_cell_angle_beta 90.00
_cell_angle_gamma 90.00
_symmetry_space_group_name_H-M 'I 4 m m'
_symmetry_Int_Tables_number 107
_symmetry_space_group_name_Hall 'I 4 -2'
loop_
_atom_site_label
_atom_site_fract_x
_atom_site_fract_y
_atom_site_fract_z
_atom_site_occupancy
Sr1 0.000 0.000 0.000 1
Mn1 0.000 0.000 0.291 1
Hg1 0.000 0.000 0.700 1
```

Properties
**E_tot**: -21.49 eV for the cell shown
**ΔE_f**: 0.41 eV/f.u.

---

# 2
The following is a GGA-PBE calculation of a relaxed structure of ZnCdAg2Ge, from Alexandria.

```
data_ZnCdAg2Ge
_cell_length_a 5.247
_cell_length_b 5.247
_cell_length_c 4.994
_cell_angle_alpha 90.00
_cell_angle_beta 90.00
_cell_angle_gamma 90.00
_symmetry_space_group_name_H-M 'P 4/m m m'
_symmetry_Int_Tables_number 123
_symmetry_space_group_name_Hall '-P 4 2'
loop_
_atom_site_label
_atom_site_fract_x
_atom_site_fract_y
_atom_site_fract_z
_atom_site_occupancy
Zn1 0.000 0.000 0.000 1
Cd1 0.500 0.500 0.500 1
Ag1 0.000 0.500 0.500 1
Ge1 0.500 0.500 0.000 1
```

Properties
**E_tot**: -8.62 eV for the cell shown
**ΔE_f**: 3.89 eV/f.u.

---

# 3
The following is a GGA-PBE calculation of a relaxed structure of In2ReAs, from Alexandria.

```
data_In2ReAs
_cell_length_a 3.029
_cell_length_b 3.029
_cell_length_c 8.715
_cell_angle_alpha 90.00
_cell_angle_beta 90.00
_cell_angle_gamma 90.00
_symmetry_space_group_name_H-M 'P 4/m m m'
_symmetry_Int_Tables_number 123
_symmetry_space_group_name_Hall '-P 4 2'
loop_
_atom_site_label
_atom_site_fract_x
_atom_site_fract_y
_atom_site_fract_z
_atom_site_occupancy
In1 0.000 0.000 0.221 1
Re1 0.500 0.500 0.000 1
As1 0.500 0.500 0.500 1
```

Properties
**E_tot**: -20.14 eV for the cell shown
**ΔE_f**: 2.43 eV/f.u.

---

# 4
The following is a GGA-PBE calculation of a relaxed structure of Sc2BeS, from Alexandria.

```
data_Sc2BeS
_cell_length_a 6.432
_cell_length_b 6.432
_cell_length_c 6.432
_cell_angle_alpha 90.00
_cell_angle_beta 90.00
_cell_angle_gamma 90.00
_symmetry_space_group_name_H-M 'F m -3 m'
_symmetry_Int_Tables_number 225
_symmetry_space_group_name_Hall '-F 4 2 3'
loop_
_atom_site_label
_atom_site_fract_x
_atom_site_fract_y
_atom_site_fract_z
_atom_site_occupancy
Sc1 0.250 0.250 0.250 1
Be1 0.000 0.000 0.000 1
S1 0.000 0.000 0.500 1
```

Properties
**Formation energy from raw total energies**: -0.387 eV per atom
**E_tot**: -88.26 eV for the cell shown

---

# 5
The following is a GGA-PBE calculation of a relaxed structure of Sm3NiSe2, from Alexandria.

```
data_Sm3NiSe2
_cell_length_a 3.989
_cell_length_b 5.958
_cell_length_c 12.737
_cell_angle_alpha 90.00
_cell_angle_beta 90.00
_cell_angle_gamma 90.00
_symmetry_space_group_name_H-M 'I m m m'
_symmetry_Int_Tables_number 71
_symmetry_space_group_name_Hall '-I 2 2'
loop_
_atom_site_label
_atom_site_fract_x
_atom_site_fract_y
_atom_site_fract_z
_atom_site_occupancy
Sm1 0.000 0.000 0.000 1
Sm2 0.000 0.000 0.350 1
Ni1 0.000 0.500 0.000 1
Se1 0.000 0.500 0.327 1
```

Properties
**Formation energy from raw total energies**: -1.270 eV per atom
**E_tot**: -69.05 eV for the cell shown

---

# 6
The following is a GGA-PBE calculation of a relaxed structure of Na3Sr12Li, from Alexandria.

```
data_Na3Sr12Li
_cell_length_a 5.831
_cell_length_b 5.831
_cell_length_c 23.518
_cell_angle_alpha 90.00
_cell_angle_beta 90.00
_cell_angle_gamma 90.00
_symmetry_space_group_name_H-M 'P 4/m m m'
_symmetry_Int_Tables_number 123
_symmetry_space_group_name_Hall '-P 4 2'
loop_
_atom_site_label
_atom_site_fract_x
_atom_site_fract_y
_atom_site_fract_z
_atom_site_occupancy
Na1 0.000 0.000 0.000 1
Na2 0.000 0.000 0.254 1
Sr1 0.000 0.500 0.127 1
Sr2 0.000 0.500 0.381 1
Sr3 0.500 0.500 0.000 1
Sr4 0.500 0.500 0.255 1
Sr5 0.500 0.500 0.500 1
Li1 0.000 0.000 0.500 1
```

Properties
**E_tot**: -25.27 eV for the cell shown
**ΔE_f**: 0.78 eV/f.u.

---

# 7
The following is a GGA-PBE calculation of a relaxed structure of CeVN3, from Alexandria.

```
data_CeVN3
_cell_length_a 3.838
_cell_length_b 3.838
_cell_length_c 3.838
_cell_angle_alpha 90.00
_cell_angle_beta 90.00
_cell_angle_gamma 90.00
_symmetry_space_group_name_H-M 'P m -3 m'
_symmetry_Int_Tables_number 221
_symmetry_space_group_name_Hall '-P 4 2 3'
loop_
_atom_site_label
_atom_site_fract_x
_atom_site_fract_y
_atom_site_fract_z
_atom_site_occupancy
Ce1 0.000 0.000 0.000 1
V1 0.500 0.500 0.500 1
N1 0.000 0.500 0.500 1
```

Properties
**Formation energy from raw total energies**: -0.987 eV per atom
**E_tot**: -44.96 eV for the cell shown

---

# 8
The following is a GGA-PBE calculation of a relaxed structure of Ta2Ru2I, from Alexandria.

```
data_Ta2Ru2I
_cell_length_a 4.275
_cell_length_b 4.275
_cell_length_c 11.541
_cell_angle_alpha 90.00
_cell_angle_beta 90.00
_cell_angle_gamma 90.00
_symmetry_space_group_name_H-M 'I 4/m m m'
_symmetry_Int_Tables_number 139
_symmetry_space_group_name_Hall '-I 4 2'
loop_
_atom_site_label
_atom_site_fract_x
_atom_site_fract_y
_atom_site_fract_z
_atom_site_occupancy
Ta1 0.000 0.500 0.250 1
Ru1 0.000 0.000 0.126 1
I1 0.000 0.000 0.500 1
```

Properties
**Formation energy from raw total energies**: 0.238 eV per atom
**E_tot**: -85.23 eV for the cell shown

---

# 9
The following is a GGA-PBE calculation of a relaxed structure of CsZnCoCl6, from Alexandria.

```
data_CsZnCoCl6
_cell_length_a 6.2369
_cell_length_b 6.2369
_cell_length_c 7.8565
_cell_angle_alpha 90.00
_cell_angle_beta 90.00
_cell_angle_gamma 120.00
_symmetry_space_group_name_H-M 'P 3 1 2'
_symmetry_Int_Tables_number 149
_symmetry_space_group_name_Hall 'P 3 2'
loop_
_atom_site_label
_atom_site_fract_x
_atom_site_fract_y
_atom_site_fract_z
_atom_site_occupancy
Cs1 0.0000 0.0000 0.0000 1
Zn1 0.6667 0.3333 0.5000 1
Co1 0.3333 0.6667 0.5000 1
Cl1 0.0256 0.3825 0.6675 1
```

Properties
**Formation energy from raw total energies**: -1.060 eV per atom
**E_tot**: -29.85 eV for the cell shown

---

# 10
The following is a GGA-PBE calculation of a relaxed structure of FePC2, from Alexandria.

```
data_FePC2
_cell_length_a 2.7760
_cell_length_b 2.7760
_cell_length_c 5.4014
_cell_angle_alpha 90.00
_cell_angle_beta 90.00
_cell_angle_gamma 120.00
_symmetry_space_group_name_H-M 'P 3 m 1'
_symmetry_Int_Tables_number 156
_symmetry_space_group_name_Hall 'P 3 -2"'
loop_
_atom_site_label
_atom_site_fract_x
_atom_site_fract_y
_atom_site_fract_z
_atom_site_occupancy
Fe1 0.0000 0.0000 0.0000 1
P1 0.6667 0.3333 0.6425 1
C1 0.3333 0.6667 0.2055 1
C2 0.3333 0.6667 0.4721 1
```

Properties
**E_tot**: -30.93 eV for the cell shown
**ΔE_f**: 1.39 eV/f.u.

---

# 11
The following is a GGA-PBE calculation of a relaxed structure of ErPuCdTc, from Alexandria.

```
data_ErPuCdTc
_cell_length_a 7.099
_cell_length_b 7.099
_cell_length_c 7.099
_cell_angle_alpha 90.00
_cell_angle_beta 90.00
_cell_angle_gamma 90.00
_symmetry_space_group_name_H-M 'F -4 3 m'
_symmetry_Int_Tables_number 216
_symmetry_space_group_name_Hall 'F -4 2 3'
loop_
_atom_site_label
_atom_site_fract_x
_atom_site_fract_y
_atom_site_fract_z
_atom_site_occupancy
Er1 0.000 0.000 0.000 1
Pu1 0.000 0.000 0.500 1
Cd1 0.250 0.250 0.750 1
Tc1 0.250 0.250 0.250 1
```

Properties
**E_tot**: -119.41 eV for the cell shown
**ΔE_f**: 0.32 eV/f.u.

---

# 12
The following is a GGA-PBE calculation of a relaxed structure of Ho5In2HgIr2, from Alexandria.

```
data_Ho5In2HgIr2
_cell_length_a 11.863
_cell_length_b 11.863
_cell_length_c 3.628
_cell_angle_alpha 90.00
_cell_angle_beta 90.00
_cell_angle_gamma 90.00
_symmetry_space_group_name_H-M 'P 4/m b m'
_symmetry_Int_Tables_number 127
_symmetry_space_group_name_Hall '-P 4 2ab'
loop_
_atom_site_label
_atom_site_fract_x
_atom_site_fract_y
_atom_site_fract_z
_atom_site_occupancy
Ho1 0.000 0.500 0.000 1
Ho2 0.075 0.205 0.000 1
In1 0.175 0.675 0.500 1
Hg1 0.000 0.000 0.500 1
Ir1 0.132 0.368 0.500 1
```

Properties
**E_tot**: -104.56 eV for the cell shown
**ΔE_f**: -5.89 eV/f.u.